# 1
Crystalline Ta2AgRu at its relaxed geometry, computed with PBE.

Unit cell a=4.5650 b=4.5650 c=4.5650 alpha=60.00 beta=60.00 gamma=60.00
With the nearest neighbours (Å) after each atom.
Positions (direct):
Ag 0.5000 0.5000 0.5000  4 Ta 2.80, 4 Ru 2.80
Ru 0.2500 0.2500 0.2500  4 Ag 2.80, 4 Ta 2.80
Ta 0.7500 0.7500 0.7500  4 Ag 2.80, 4 Ta 2.80
Ta 0.0000 0.0000 0.0000  4 Ta 2.80, 4 Ru 2.80

## Properties
Space-group type: No. 216
Total magnetic moment in μB/f.u.: 0.54
Excess energy over the best structure of this formula in the dataset in eV per formula unit: 0.93
ρ in g cm⁻³: 14.09
Calculated total energy in Ha/atom: -0.31891
E_form in eV/f.u.: 1.1

# 2
Crystalline Rb2Hg7Sb at its relaxed geometry, computed with PBE.

Unit cell a=5.3620 b=5.3620 c=11.6939 alpha=90.00 beta=90.00 gamma=90.00
With the nearest neighbours (Å) after each atom.
Positions (direct):
Hg 0.5000 0.0000 0.3748  5 Hg 2.92-3.05
Hg 0.5000 0.5000 0.5000  4 Hg 3.05
Hg 0.0000 0.5000 0.6252  5 Hg 2.92-3.05
Hg 0.0000 0.0000 0.0000  4 Hg 3.05
Sb 0.5000 0.5000 0.0000  4 Hg 3.05
Hg 0.0000 0.0000 0.5000  4 Hg 3.05
Hg 0.0000 0.5000 0.8753  3 Hg 2.92-3.05, 2 Sb 3.05
Hg 0.5000 0.0000 0.1247  3 Hg 2.92-3.05, 2 Sb 3.05
Rb 0.5000 0.0000 0.7526  16 Hg 3.94-4.42, 2 Sb 3.94
Rb 0.0000 0.5000 0.2474  2 Sb 3.94, 16 Hg 3.94-4.42

## Properties
Space-group type: No. 115
Total magnetic moment in μB/f.u.: 0.00
ΔE_f (raw) in eV/atom: -0.18
ρ in g cm⁻³: 8.38
Calculated total energy in Ha/atom: -0.03672

# 3
Crystalline Sr2AlHI at its relaxed geometry, computed with PBE.

Unit cell a=5.9333 b=3.9109 c=5.9333 alpha=90.00 beta=90.00 gamma=90.00
With the nearest neighbours (Å) after each atom.
Positions (direct):
Sr 0.5000 0.0000 0.0000  2 H 2.97
Sr 0.0000 0.0000 0.5000  2 H 2.97
Al 0.0000 0.5000 0.0000  2 H 1.96
H 0.0000 0.0000 0.0000  2 Al 1.96
I 0.5000 0.5000 0.5000  8 Sr 3.55, 2 I 3.91

## Properties
Space-group type: No. 123
Total magnetic moment in μB/f.u.: 0.00
ρ in g cm⁻³: 3.98
Calculated total energy in Ha/atom: -0.10334

# 4
Crystalline Sm4TlCd at its relaxed geometry, computed with PBE.

Unit cell a=5.2321 b=11.3311 c=6.8893 alpha=90.00 beta=90.00 gamma=117.50
With the nearest neighbours (Å) after each atom.
Positions (direct):
Sm 0.6808 0.9308 0.2500  4 Tl 3.16-3.47
Sm 0.6746 0.4247 0.7500  4 Cd 3.08-3.45
Sm 0.9901 0.7401 0.9894  5 Sm 3.30-3.59, 2 Tl 3.45, 2 Cd 3.46
Tl 0.3569 0.1068 0.2500  1 Cd 3.08, 2 Sm 3.16
Sm 0.3192 0.0692 0.7500  4 Tl 3.16-3.47
Cd 0.3365 0.5866 0.7500  4 Sm 3.08-3.45, 1 Tl 3.08
Sm 0.9901 0.7401 0.5106  5 Sm 3.30-3.59, 2 Tl 3.45, 2 Cd 3.46
Sm 0.0099 0.2599 0.0106  5 Sm 3.30-3.59, 2 Tl 3.45, 2 Cd 3.46
Sm 0.3254 0.5753 0.2500  4 Cd 3.08-3.45
Sm 0.0099 0.2599 0.4894  5 Sm 3.30-3.59, 2 Tl 3.45, 2 Cd 3.46
Tl 0.6431 0.8932 0.7500  1 Cd 3.08, 2 Sm 3.16
Cd 0.6635 0.4134 0.2500  4 Sm 3.08-3.45, 1 Tl 3.08

## Properties
Space-group type: No. 59
Total magnetic moment in μB/f.u.: 0.00
Excess energy over the best structure of this formula in the dataset in eV per formula unit: 0.00
ρ in g cm⁻³: 8.42
Calculated total energy in Ha/atom: -0.14283
E_form in eV/f.u.: -1.2

# 5
Crystalline Dy4Th3N8 at its relaxed geometry, computed with PBE.

Unit cell a=7.0656 b=7.1676 c=7.1676 alpha=89.21 beta=120.59 gamma=120.59
With the nearest neighbours (Å) after each atom.
Positions (direct):
Dy 0.0000 0.5000 0.0000  6 N 2.47-2.56
N 0.9923 0.7621 0.7621  4 Dy 2.39-2.52, 1 Th 2.44
Dy 0.0000 0.0000 0.5000  6 N 2.47-2.56
N 0.4733 0.2391 0.2391  2 Dy 2.34-2.58, 3 Th 2.52-2.53
N 0.5000 0.7534 0.2466  3 Dy 2.47-2.48, 3 Th 2.55
Th 0.5000 0.5000 0.0000  6 N 2.48-2.55
N 0.5000 0.2466 0.7534  3 Dy 2.47-2.48, 3 Th 2.55
N 0.5267 0.7609 0.7609  2 Dy 2.34-2.58, 3 Th 2.52-2.53
N 0.0000 0.2348 0.7652  3 Dy 2.36-2.56, 2 Th 2.48
N 0.0000 0.7652 0.2348  3 Dy 2.36-2.56, 2 Th 2.48
Th 0.5000 0.0000 0.5000  6 N 2.48-2.55
Th 0.5000 0.5000 0.5000  6 N 2.44-2.55
N 0.0077 0.2379 0.2379  4 Dy 2.39-2.52, 1 Th 2.44
Dy 0.5000 0.0000 0.0000  6 N 2.48-2.58
Dy 0.0000 0.0000 0.0000  6 N 2.34-2.39

## Properties
Space-group type: No. 12
Total magnetic moment in μB/f.u.: 0.00
ΔE_f (raw) in eV/atom: -1.42
ρ in g cm⁻³: 9.54
Calculated total energy in Ha/atom: -0.31488

# 6
Crystalline LaEuErIn at its relaxed geometry, computed with PBE.

Unit cell a=5.6025 b=5.6025 c=5.6025 alpha=60.00 beta=60.00 gamma=60.00
With the nearest neighbours (Å) after each atom.
Positions (direct):
In 0.2500 0.2500 0.2500  4 La 3.43, 4 Er 3.43
Eu 0.7500 0.7500 0.7500  4 Er 3.43, 4 La 3.43
La 0.0000 0.0000 0.0000  4 Eu 3.43, 4 In 3.43
Er 0.5000 0.5000 0.5000  4 In 3.43, 4 Eu 3.43

## Properties
Space-group type: No. 216
Total magnetic moment in μB/f.u.: 7.72
ρ in g cm⁻³: 7.65
Calculated total energy in Ha/atom: -0.21205
E_form in eV/f.u.: -0.6

# 7
Crystalline MgMn2Pb at its relaxed geometry, computed with PBE.

Unit cell a=5.2809 b=5.2809 c=4.0181 alpha=67.64 beta=67.64 gamma=45.33
With the nearest neighbours (Å) after each atom.
Positions (direct):
Mn 0.9993 0.9993 0.0007  4 Pb 2.86, 4 Mn 2.99-3.02, 4 Mg 3.00-3.01
Mn 0.7504 0.7504 0.7496  4 Mg 2.86, 4 Mn 2.99-3.02, 4 Pb 2.99-3.01
Mg 0.2497 0.2497 0.2503  8 Mn 2.86-3.01, 4 Pb 3.00-3.01
Pb 0.5006 0.5006 0.4994  8 Mn 2.86-3.01, 4 Mg 3.00-3.01

## Properties
Space-group type: No. 44
Total magnetic moment in μB/f.u.: 6.50
ρ in g cm⁻³: 7.81
Calculated total energy in Ha/atom: -0.20506
E_form in eV/f.u.: 1.3

# 8
Crystalline CsTa2ZnCr at its relaxed geometry, computed with PBE.

Unit cell a=4.9769 b=5.1138 c=4.9769 alpha=90.00 beta=90.00 gamma=90.00
With the nearest neighbours (Å) after each atom.
Positions (direct):
Cs 0.5000 0.5000 0.5000  4 Cr 3.52, 8 Ta 3.57
Zn 0.0000 0.0000 0.0000  4 Ta 2.49, 2 Cr 2.56
Ta 0.0000 0.0000 0.5000  2 Zn 2.49
Ta 0.5000 0.0000 0.0000  2 Zn 2.49
Cr 0.0000 0.5000 0.0000  2 Zn 2.56

## Properties
Space-group type: No. 123
Total magnetic moment in μB/f.u.: 1.93
ρ in g cm⁻³: 8.03
Calculated total energy in Ha/atom: -0.19287
E_form in eV/f.u.: 9.2

Which formula does entry 7 have?
MgMn2Pb